The following is a PBE calculation of an optimized crystal structure of Sm5DyTl5, from Alexandria via LeMat-Bulk.

Structure (POSCAR):
```
Sm5DyTl5
1.0
8.9976 -2.8970 0.0000
8.9976 2.8970 0.0000
-2.7837 0.0000 6.5504
Sm Dy Tl
5 1 5
Direct
0.0000 0.0000 0.0000
0.3118 0.3118 0.3092
0.3633 0.3633 0.8595
0.6367 0.6367 0.1405
0.6882 0.6882 0.6908
0.0000 0.0000 0.5000
0.1622 0.1622 0.4335
0.1620 0.1620 0.8905
0.5000 0.5000 0.5000
0.8380 0.8380 0.1095
0.8378 0.8378 0.5665
```

Computed properties:
**E_form**: -142.9 meV/atom
**Density**: 9.42 g/cm3